No. 1
Density functional theory data (PBE-GGA) for crystalline BaMn2Co at its relaxed geometry.

abc: 4.8962 4.8962 3.4535
angles: 90.00 90.00 108.03
Atoms (fractional coordinates):
Ba (0.0000, 0.0000, 0.0000)
Mn (0.0000, 0.5000, 0.5000)
Mn (0.5000, 0.0000, 0.5000)
Co (0.5000, 0.5000, 0.0000)

Results
- Symmetry: No. 65
- Offset from the most stable computed form: 641 meV per atom

***

No. 2
Density functional theory data (PBE-GGA) for crystalline BaMnCo at its relaxed geometry.

abc: 4.1500 4.6127 9.1691
angles: 94.80 90.12 90.07
Atoms (fractional coordinates):
Ba (0.2490, 0.2775, 0.2135)
Ba (0.7510, 0.7225, 0.7865)
Mn (0.2505, 0.1327, 0.5739)
Mn (0.7495, 0.8673, 0.4261)
Co (0.2499, 0.6349, 0.5036)
Co (0.7501, 0.3651, 0.4964)

Results
- Symmetry: No. 2
- Offset from the most stable computed form: 4 meV per atom

***

What did the second record say?
Density functional theory data (PBE-GGA) for crystalline BaMnCo at its relaxed geometry.

abc: 4.1500 4.6127 9.1691
angles: 94.80 90.12 90.07
Atoms (fractional coordinates):
Ba (0.2490, 0.2775, 0.2135)
Ba (0.7510, 0.7225, 0.7865)
Mn (0.2505, 0.1327, 0.5739)
Mn (0.7495, 0.8673, 0.4261)
Co (0.2499, 0.6349, 0.5036)
Co (0.7501, 0.3651, 0.4964)

Results
- Symmetry: No. 2
- Offset from the most stable computed form: 4 meV per atom

***

Please write out number 1 again, unchanged.
Density functional theory data (PBE-GGA) for crystalline BaMn2Co at its relaxed geometry.

abc: 4.8962 4.8962 3.4535
angles: 90.00 90.00 108.03
Atoms (fractional coordinates):
Ba (0.0000, 0.0000, 0.0000)
Mn (0.0000, 0.5000, 0.5000)
Mn (0.5000, 0.0000, 0.5000)
Co (0.5000, 0.5000, 0.0000)

Results
- Symmetry: No. 65
- Offset from the most stable computed form: 641 meV per atom

***

Please write out number 2 again, unchanged.
Density functional theory data (PBE-GGA) for crystalline BaMnCo at its relaxed geometry.

abc: 4.1500 4.6127 9.1691
angles: 94.80 90.12 90.07
Atoms (fractional coordinates):
Ba (0.2490, 0.2775, 0.2135)
Ba (0.7510, 0.7225, 0.7865)
Mn (0.2505, 0.1327, 0.5739)
Mn (0.7495, 0.8673, 0.4261)
Co (0.2499, 0.6349, 0.5036)
Co (0.7501, 0.3651, 0.4964)

Results
- Symmetry: No. 2
- Offset from the most stable computed form: 4 meV per atom